Record 1
Below is a crystal of SrTh2Se5 relaxed with PBEsol, with properties calculated at the meta-GGA SCAN level.

```
SrTh2Se5
1.0
8.698 0.000 0.000
0.000 7.845 0.000
-0.022 0.000 12.375
Sr Th Se
4 8 20
Cartesian
0.045 0.299 2.150
0.034 3.623 8.337
8.642 4.222 4.038
8.631 7.546 10.225
2.158 4.532 0.125
2.146 7.236 6.313
4.334 4.091 3.966
4.323 7.676 10.153
4.353 0.169 2.222
4.341 3.754 8.409
6.529 0.609 6.062
6.518 3.313 12.249
0.381 1.375 5.103
0.370 2.547 11.291
2.270 5.476 9.657
2.281 6.291 3.470
2.373 1.348 8.494
2.384 2.575 2.306
2.390 4.230 6.197
2.401 7.537 0.009
3.938 1.281 4.961
3.927 2.641 11.149
4.749 5.204 1.226
4.738 6.564 7.414
6.274 0.308 12.365
6.285 3.615 6.178
6.292 5.270 10.068
6.303 6.497 3.881
6.394 1.554 8.905
6.406 2.369 2.718
8.306 5.298 1.084
8.295 6.470 7.272
```

Values from the calculation:
Crystal system   monoclinic


Record 2
Below is a crystal of SrTi3Se relaxed with PBEsol, with properties calculated at the meta-GGA SCAN level.

```
SrTi3Se
1.0
4.827 0.000 0.000
0.000 4.827 0.000
0.000 0.000 4.827
Sr Ti Se
1 3 1
Cartesian
0.000 0.000 0.000
0.000 2.413 2.413
2.413 0.000 2.413
2.413 2.413 0.000
2.413 2.413 2.413
```

Values from the calculation:
Crystal system   cubic


Record 3
Below is a crystal of SrYTi2Se relaxed with PBEsol, with properties calculated at the meta-GGA SCAN level.

```
SrYTi2Se
1.0
4.701 0.000 0.000
0.000 4.701 0.000
0.000 0.000 5.583
Sr Y Ti Se
1 1 2 1
Cartesian
0.000 0.000 0.000
2.351 2.351 2.791
0.000 2.351 0.000
2.351 0.000 0.000
0.000 0.000 2.791
```

Values from the calculation:
Crystal system   tetragonal


Record 4
Below is a crystal of SrTlSe2 relaxed with PBEsol, with properties calculated at the meta-GGA SCAN level.

```
SrTlSe2
1.0
-1.985 2.024 6.967
1.985 -2.024 6.967
1.985 2.024 -6.967
Sr Tl Se
1 1 2
Cartesian
0.000 0.000 0.000
1.985 0.000 3.479
0.000 0.000 5.832
0.000 2.024 2.421
```

Values from the calculation:
Crystal system   orthorhombic


Record 5
Below is a crystal of SrTl2Se relaxed with PBEsol, with properties calculated at the meta-GGA SCAN level.

```
SrTl2Se
1.0
4.248 0.000 0.000
0.000 4.215 0.000
-2.079 0.000 6.852
Sr Tl Se
1 2 1
Cartesian
0.000 0.000 0.000
0.016 0.000 3.757
2.139 2.108 2.608
0.046 2.108 6.441
```

Values from the calculation:
Crystal system   monoclinic


Record 6
Below is a crystal of SrTl2Se relaxed with PBEsol, with properties calculated at the meta-GGA SCAN level.

```
SrTl2Se
1.0
-2.384 2.384 4.839
2.384 -2.384 4.839
2.384 2.384 -4.839
Sr Tl Se
1 2 1
Cartesian
0.000 0.000 0.000
0.000 0.000 4.839
0.000 2.384 2.419
2.384 0.000 2.419
```

Values from the calculation:
Crystal system   tetragonal


Record 7
Below is a crystal of SrTlSe2 relaxed with PBEsol, with properties calculated at the meta-GGA SCAN level.

```
SrTlSe2
1.0
4.296 0.000 0.000
0.000 4.296 0.000
0.000 0.000 6.117
Sr Tl Se
1 1 2
Cartesian
0.000 0.000 0.000
2.148 2.148 3.058
0.000 0.000 3.058
2.148 2.148 0.000
```

Values from the calculation:
Crystal system   tetragonal


Record 8
Below is a crystal of SrTlSe2 relaxed with PBEsol, with properties calculated at the meta-GGA SCAN level.

```
SrTlSe2
1.0
-3.241 3.241 7.194
3.241 -3.241 7.194
3.241 3.241 -7.194
Sr Tl Se
2 2 4
Cartesian
0.000 0.000 0.000
0.000 3.241 3.597
3.241 0.000 3.597
0.000 0.000 7.194
1.621 -1.475 5.395
1.766 1.621 1.798
1.621 4.716 -1.798
1.475 1.621 8.992
```

Values from the calculation:
Crystal system   tetragonal


Record 9
Below is a crystal of SrTlSe2 relaxed with PBEsol, with properties calculated at the meta-GGA SCAN level.

```
SrTlSe2
1.0
4.365 0.000 0.000
0.000 2.037 6.171
0.000 -2.037 6.171
Sr Tl Se
1 1 2
Cartesian
0.000 0.000 0.000
2.183 0.000 2.972
0.000 0.000 8.794
2.183 0.000 5.678
```

Values from the calculation:
Crystal system   orthorhombic


Record 10
Below is a crystal of Sr2TlSe2 relaxed with PBEsol, with properties calculated at the meta-GGA SCAN level.

```
Sr2TlSe2
1.0
-2.852 2.852 5.708
2.852 -2.852 5.708
2.852 2.852 -5.708
Sr Tl Se
2 1 2
Cartesian
0.000 0.000 2.065
0.000 0.000 9.352
0.000 0.000 5.708
2.852 0.000 2.854
0.000 2.852 2.854
```

Values from the calculation:
Crystal system   tetragonal


Record 11
Below is a crystal of SrW4Se relaxed with PBEsol, with properties calculated at the meta-GGA SCAN level.

```
SrW4Se
1.0
0.000 3.858 3.858
3.858 0.000 3.858
3.858 3.858 0.000
Sr W Se
1 4 1
Cartesian
0.000 0.000 0.000
4.820 2.896 2.896
2.896 4.820 2.896
2.896 2.896 4.820
4.820 4.820 4.820
1.929 1.929 1.929
```

Values from the calculation:
Crystal system   cubic


Record 12
Below is a crystal of SrWSe2 relaxed with PBEsol, with properties calculated at the meta-GGA SCAN level.

```
SrWSe2
1.0
-2.913 2.913 6.767
2.913 -2.913 6.767
2.913 2.913 -6.767
Sr W Se
2 2 4
Cartesian
0.000 0.000 0.000
0.000 2.913 3.384
2.913 0.000 3.384
0.000 0.000 6.767
1.456 -0.918 5.075
1.995 1.456 1.692
1.456 3.831 -1.692
0.918 1.456 8.459
```

Values from the calculation:
Excess energy over the best structure of this formula in the dataset   289 meV per atom
Crystal system   tetragonal


Record 13
Below is a crystal of SrWSe2 relaxed with PBEsol, with properties calculated at the meta-GGA SCAN level.

```
SrWSe2
1.0
3.268 0.000 0.000
0.000 3.268 0.000
0.000 0.000 7.215
Sr W Se
1 1 2
Cartesian
0.000 0.000 0.000
0.000 0.000 3.607
1.634 1.634 2.126
1.634 1.634 5.089
```

Values from the calculation:
Excess energy over the best structure of this formula in the dataset   433 meV per atom
Crystal system   tetragonal


Record 14
Below is a crystal of SrWSe2 relaxed with PBEsol, with properties calculated at the meta-GGA SCAN level.

```
SrWSe2
1.0
0.000 3.360 3.360
3.360 0.000 3.360
3.360 3.360 0.000
Sr W Se
1 1 2
Cartesian
0.000 0.000 0.000
3.360 3.360 3.360
1.680 1.680 1.680
5.040 5.040 5.040
```

Values from the calculation:
Excess energy over the best structure of this formula in the dataset   396 meV per atom
Crystal system   cubic


Record 15
Below is a crystal of SrW2Se relaxed with PBEsol, with properties calculated at the meta-GGA SCAN level.

```
SrW2Se
1.0
5.842 -1.563 0.000
5.842 1.563 0.000
-1.852 0.000 4.668
Sr W Se
1 2 1
Cartesian
0.000 0.000 0.000
1.287 0.000 2.981
8.544 0.000 1.687
4.916 0.000 2.334
```

Values from the calculation:
Crystal system   monoclinic


Record 16
Below is a crystal of SrWSe2 relaxed with PBEsol, with properties calculated at the meta-GGA SCAN level.

```
SrWSe2
1.0
3.506 0.000 0.000
0.000 3.506 0.000
0.000 0.000 7.751
Sr W Se
1 1 2
Cartesian
0.000 0.000 0.000
1.753 1.753 3.720
0.000 0.000 2.934
1.753 1.753 6.148
```

Values from the calculation:
Excess energy over the best structure of this formula in the dataset   421 meV per atom
Crystal system   tetragonal


Record 17
Below is a crystal of SrWSe2 relaxed with PBEsol, with properties calculated at the meta-GGA SCAN level.

```
SrWSe2
1.0
2.024 1.168 6.174
-2.024 1.168 6.174
0.000 -2.337 6.174
Sr W Se
1 1 2
Cartesian
0.000 0.000 0.000
0.000 0.000 9.262
0.000 0.000 4.290
0.000 0.000 14.233
```

Values from the calculation:
Excess energy over the best structure of this formula in the dataset   0 meV per atom
Crystal system   trigonal


Record 18
Below is a crystal of SrY2Se relaxed with PBEsol, with properties calculated at the meta-GGA SCAN level.

```
SrY2Se
1.0
3.305 -5.739 0.000
3.305 5.739 0.000
-2.064 0.000 3.074
Sr Y Se
1 2 1
Cartesian
0.000 0.000 0.000
1.653 2.870 0.000
1.653 -2.870 0.000
3.305 0.000 0.000
```

Values from the calculation:
Crystal system   monoclinic


Record 19
Below is a crystal of SrYSe2 relaxed with PBEsol, with properties calculated at the meta-GGA SCAN level.

```
SrYSe2
1.0
4.182 0.000 0.000
0.000 4.182 0.000
0.000 0.000 5.897
Sr Y Se
1 1 2
Cartesian
0.000 0.000 0.000
2.091 2.091 2.948
0.000 0.000 2.948
2.091 2.091 0.000
```

Values from the calculation:
Excess energy over the best structure of this formula in the dataset   57 meV per atom
Crystal system   tetragonal


Record 20
Below is a crystal of SrY2Se relaxed with PBEsol, with properties calculated at the meta-GGA SCAN level.

```
SrY2Se
1.0
3.725 0.000 0.000
0.000 3.725 0.000
0.000 0.000 8.658
Sr Y Se
1 2 1
Cartesian
0.000 0.000 0.000
0.000 0.000 5.107
1.863 1.863 2.874
1.863 1.863 6.421
```

Values from the calculation:
Crystal system   tetragonal


In order of appearance, raw formation energy = -2.0432 0.1058 1.0985 -1.1078 -0.8662 -0.7169 -1.2742 -1.0461 -1.2316 -1.2355 1.0657 -0.3043 -0.1603 -0.1973 0.5651 -0.1725 -0.5932 -0.3853 -2.0780 -0.8305 eV per atom.